No. 1
SrSi2NiGe | PBE-GGA | relaxed

Lattice parameters (Å, degrees): 5.831 5.831 5.831 137.34 137.34 61.91
Sites, in units of the cell vectors:
Sr 0.000 0.000 0.000
Si 0.248 0.748 0.500
Si 0.748 0.248 0.500
Ni 0.651 0.651 0.000
Ge 0.405 0.405 0.000

Properties
* crystal system: tetragonal
* energy: -24.96 eV for the cell shown
* M_tot: 0.00 μB per formula unit

---

No. 2
PrScTl | PBE-GGA | relaxed

Lattice parameters (Å, degrees): 5.126 5.126 5.126 60.00 60.00 60.00
Sites, in units of the cell vectors:
Pr 0.000 0.000 0.000
Sc 0.500 0.500 0.500
Tl 0.250 0.250 0.250

Properties
* crystal system: cubic
* energy: -13.46 eV for the cell shown
* M_tot: 0.77 μB per formula unit